ScAl2VF | Alexandria via LeMat-Bulk | GGA+U | optimized geometry; electronic total energy = -3.35 eV/atom; space group = No. 123
1.0
5.375 0.000 0.000
0.000 5.375 0.000
0.000 0.000 4.364
Sc Al V F
1 2 1 1
Direct
0.000 0.000 0.000
0.000 0.500 0.000
0.500 0.000 0.000
0.000 0.000 0.500
0.500 0.500 0.500